No. 1
# GdTmNiRu | the Alexandria database | PBE | relaxed
# Energy, eV/atom: -8.80
data_GdTmNiRu
_chemical_formula_sum 'Gd1 Tm1 Ni1 Ru1'
_symmetry_space_group_name_H-M 'P 1'
_symmetry_Int_Tables_number 1
_symmetry_space_group_name_Hall 'P 1'
_cell_length_a 4.785
_cell_length_b 4.785
_cell_length_c 4.785
_cell_angle_alpha 60.00
_cell_angle_beta 60.00
_cell_angle_gamma 60.00
loop_
_atom_site_label
_atom_site_type_symbol
_atom_site_fract_x
_atom_site_fract_y
_atom_site_fract_z
_atom_site_occupancy
Ni1 Ni 0.250 0.250 0.250 1
Tm1 Tm 0.000 0.000 0.000 1
Ru1 Ru 0.750 0.750 0.750 1
Gd1 Gd 0.500 0.500 0.500 1



No. 2
# TmHfZr2Sc4 | the Alexandria database | PBE | relaxed
# Energy, eV/atom: -6.82
data_TmHfZr2Sc4
_chemical_formula_sum 'Tm2 Hf2 Zr4 Sc8'
_symmetry_space_group_name_H-M 'P 1'
_symmetry_Int_Tables_number 1
_symmetry_space_group_name_Hall 'P 1'
_cell_length_a 4.928
_cell_length_b 6.030
_cell_length_c 14.692
_cell_angle_alpha 90.00
_cell_angle_beta 90.00
_cell_angle_gamma 114.12
loop_
_atom_site_label
_atom_site_type_symbol
_atom_site_fract_x
_atom_site_fract_y
_atom_site_fract_z
_atom_site_occupancy
Hf1 Hf 0.883 0.766 0.750 1
Hf2 Hf 0.117 0.234 0.250 1
Zr1 Zr 0.605 0.210 0.111 1
Zr2 Zr 0.605 0.210 0.389 1
Zr3 Zr 0.395 0.790 0.889 1
Zr4 Zr 0.395 0.790 0.611 1
Sc1 Sc 0.000 0.000 0.500 1
Sc2 Sc 0.713 0.426 0.573 1
Sc3 Sc 0.287 0.574 0.073 1
Sc4 Sc 0.713 0.426 0.927 1
Sc5 Sc 0.430 0.859 0.250 1
Sc6 Sc 0.000 0.000 0.000 1
Sc7 Sc 0.570 0.141 0.750 1
Sc8 Sc 0.287 0.574 0.427 1
Tm1 Tm 0.811 0.622 0.250 1
Tm2 Tm 0.189 0.378 0.750 1



No. 3
# TiNbCo4 | the Alexandria database | PBE | relaxed
# Energy, eV/atom: -7.96
data_TiNbCo4
_chemical_formula_sum 'Ti1 Nb1 Co4'
_symmetry_space_group_name_H-M 'P 1'
_symmetry_Int_Tables_number 1
_symmetry_space_group_name_Hall 'P 1'
_cell_length_a 4.732
_cell_length_b 4.732
_cell_length_c 4.732
_cell_angle_alpha 60.00
_cell_angle_beta 60.00
_cell_angle_gamma 60.00
loop_
_atom_site_label
_atom_site_type_symbol
_atom_site_fract_x
_atom_site_fract_y
_atom_site_fract_z
_atom_site_occupancy
Co1 Co 0.626 0.626 0.626 1
Co2 Co 0.626 0.123 0.626 1
Co3 Co 0.626 0.626 0.123 1
Co4 Co 0.123 0.626 0.626 1
Ti1 Ti 0.000 0.000 0.000 1
Nb1 Nb 0.250 0.250 0.250 1



No. 4
# AgPbSe2 | the Alexandria database | PBE | relaxed
# Energy, eV/atom: -3.50
# ΔE_f (raw), eV/atom: -0.117
data_AgPbSe2
_chemical_formula_sum 'Ag1 Pb1 Se2'
_symmetry_space_group_name_H-M 'P 1'
_symmetry_Int_Tables_number 1
_symmetry_space_group_name_Hall 'P 1'
_cell_length_a 5.357
_cell_length_b 5.357
_cell_length_c 5.357
_cell_angle_alpha 133.47
_cell_angle_beta 111.71
_cell_angle_gamma 86.68
loop_
_atom_site_label
_atom_site_type_symbol
_atom_site_fract_x
_atom_site_fract_y
_atom_site_fract_z
_atom_site_occupancy
Se1 Se 0.043 0.043 0.000 1
Se2 Se 0.457 0.457 0.000 1
Ag1 Ag 0.250 0.750 0.500 1
Pb1 Pb 0.750 0.250 0.500 1



These records have DOS at the Fermi energy values of 0.70; 1.54; 1.45; 0.40 states/eV per atom, in the order they appear.